A relaxed MgGe2BSe crystal. Source: Alexandria via LeMat-Bulk, functional GGA-PBE.

Calculated values
The final energy is -2.805 eV per atom. As for the formation energy (no corrections): 6.965 eV/f.u. Its total moment is 0.0 μB/cell. As for the crystal system: tetragonal.

a b c (Å): 5.049 5.049 4.934
angles (deg): 90.00 90.00 90.00
Fractional coordinates of all 5 atoms:
Mg1 0.000 0.000 0.000
Ge1 0.000 0.500 0.000
Ge2 0.500 0.000 0.000
B1 0.500 0.500 0.500
Se1 0.000 0.000 0.500